Compound: Hf2ScZnC
Source: Alexandria via LeMat-Bulk
Functional: GGA-PBE
Structure: optimized geometry

density	9.0	Mg/m³
DFT total energy	-7.782	eV/atom
energy of formation	-0.4348	eV/atom

a b c (Å): 4.469 4.469 4.451
angles (deg): 90.00 90.00 90.00
Space group P4/mmm (No. 123)
Symmetry-distinct sites (fractional):
Hf  0.000  0.500  0.000 (multiplicity 2)
Sc  0.000  0.000  0.500 (multiplicity 1)
Zn  0.500  0.500  0.500 (multiplicity 1)
C  0.000  0.000  0.000 (multiplicity 1)